1.
The following is a DFT calculation (PBE) of crystalline NaTa at its relaxed geometry.

## Properties
Energy above the lowest structure with this stoichiometry = 2.5475 eV/atom
M_tot = 0.0 μB per formula unit
Formation enthalpy at 0 K = 3142 meV/atom

Cell: 4.9238 4.9238 5.4825 Å, 90.00 90.00 120.00°
Last column: nearest neighbours and their distance in Å.
Sites, in units of the cell vectors:
Na: 0.6667 0.3333 0.7500  5 Ta 2.74-2.84
Na: 0.3333 0.6667 0.2500  5 Ta 2.74-2.84
Ta: 0.3333 0.6667 0.7500  5 Na 2.74-2.84
Ta: 0.6667 0.3333 0.2500  5 Na 2.74-2.84

=====

2.
The following is a DFT calculation (PBE) of crystalline NaTa at its relaxed geometry.

## Properties
Energy above the lowest structure with this stoichiometry = 0.3072 eV/atom
M_tot = 0.0 μB per formula unit
Formation enthalpy at 0 K = 902 meV/atom

Cell: 6.0413 16.5270 2.8582 Å, 90.00 90.00 90.00°
Last column: nearest neighbours and their distance in Å.
Sites, in units of the cell vectors:
Ta: 0.0000 0.3625 0.0000  4 Ta 2.68-2.86
Ta: 0.5000 0.0000 0.5000  6 Ta 2.68-2.86
Na: 0.5000 0.5000 0.0000  2 Na 2.86
Na: 0.5000 0.3198 0.5000  2 Na 2.86
Ta: 0.0000 0.6375 0.0000  4 Ta 2.68-2.86
Na: 0.0000 0.0000 0.0000  2 Na 2.86
Na: 0.0000 0.8198 0.5000  2 Na 2.86
Na: 0.5000 0.6802 0.5000  2 Na 2.86
Ta: 0.5000 0.1375 0.0000  4 Ta 2.68-2.86
Ta: 0.0000 0.5000 0.5000  6 Ta 2.68-2.86
Ta: 0.5000 0.8625 0.0000  4 Ta 2.68-2.86
Na: 0.0000 0.1802 0.5000  2 Na 2.86

=====

3.
The following is a DFT calculation (PBE) of crystalline NaTa at its relaxed geometry.

## Properties
Energy above the lowest structure with this stoichiometry = 2.8245 eV/atom
M_tot = 4.0 μB per formula unit
Formation enthalpy at 0 K = 3419 meV/atom

Cell: 7.1338 7.1338 7.1338 Å, 90.00 90.00 90.00°
Last column: nearest neighbours and their distance in Å.
Sites, in units of the cell vectors:
Ta: 0.5000 0.5000 0.0000  4 Na 3.09
Na: 0.7500 0.7500 0.2500  4 Ta 3.09
Ta: 0.0000 0.5000 0.5000  4 Na 3.09
Ta: 0.5000 0.0000 0.5000  4 Na 3.09
Na: 0.7500 0.2500 0.7500  4 Ta 3.09
Na: 0.2500 0.2500 0.2500  4 Ta 3.09
Na: 0.2500 0.7500 0.7500  4 Ta 3.09
Ta: 0.0000 0.0000 0.0000  4 Na 3.09

=====

4.
The following is a DFT calculation (PBE) of crystalline NaTa at its relaxed geometry.

## Properties
Energy above the lowest structure with this stoichiometry = 0.6038 eV/atom
M_tot = 0.0 μB per formula unit
Formation enthalpy at 0 K = 1198 meV/atom

Cell: 13.6703 13.6703 2.8104 Å, 90.00 90.00 90.00°
Last column: nearest neighbours and their distance in Å.
Sites, in units of the cell vectors:
Na: 0.6741 0.9544 0.5000  2 Na 2.81
Ta: 0.7749 0.1757 0.5000  4 Ta 2.56-2.81
Na: 0.4544 0.8259 0.0000  2 Na 2.81
Ta: 0.2251 0.8243 0.5000  4 Ta 2.56-2.81
Na: 0.1741 0.4544 0.0000  2 Na 2.81
Na: 0.5456 0.1741 0.0000  2 Na 2.81
Ta: 0.6757 0.7251 0.0000  4 Ta 2.56-2.81
Na: 0.0456 0.6741 0.5000  2 Na 2.81
Ta: 0.7251 0.3243 0.0000  4 Ta 2.56-2.81
Na: 0.8259 0.5456 0.0000  2 Na 2.81
Ta: 0.2749 0.6757 0.0000  4 Ta 2.56-2.81
Na: 0.3259 0.0456 0.5000  2 Na 2.81
Na: 0.9544 0.3259 0.5000  2 Na 2.81
Ta: 0.8243 0.7749 0.5000  4 Ta 2.56-2.81
Ta: 0.3243 0.2749 0.0000  4 Ta 2.56-2.81
Ta: 0.1757 0.2251 0.5000  4 Ta 2.56-2.81

=====

5.
The following is a DFT calculation (PBE) of crystalline NaTa at its relaxed geometry.

## Properties
Energy above the lowest structure with this stoichiometry = 0.7644 eV/atom
M_tot = 0.0 μB per formula unit
Formation enthalpy at 0 K = 1359 meV/atom

Cell: 5.5055 15.6363 8.4911 Å, 90.00 90.00 90.00°
Last column: nearest neighbours and their distance in Å.
Sites, in units of the cell vectors:
Ta: 0.5000 0.0838 0.5000  3 Ta 2.62-2.84
Ta: 0.0000 0.5838 0.5000  3 Ta 2.62-2.84
Na: 0.2500 0.7500 0.9064  1 Na 2.66
Na: 0.0000 0.0000 0.3436  1 Na 2.66
Na: 0.5000 0.5000 0.6564  1 Na 2.66
Na: 0.5000 0.5000 0.3436  1 Na 2.66
Ta: 0.2500 0.1662 0.7500  3 Ta 2.62-2.84
Ta: 0.2500 0.3338 0.7500  3 Ta 2.62-2.84
Ta: 0.7500 0.8338 0.7500  3 Ta 2.62-2.84
Na: 0.7500 0.7500 0.0936  1 Na 2.66
Ta: 0.2500 0.8338 0.2500  3 Ta 2.62-2.84
Ta: 0.2500 0.6662 0.2500  3 Ta 2.62-2.84
Na: 0.0000 0.5000 0.1564  1 Na 2.66
Na: 0.2500 0.7500 0.5936  1 Na 2.66
Na: 0.0000 0.0000 0.6564  1 Na 2.66
Na: 0.7500 0.2500 0.9064  1 Na 2.66
Ta: 0.7500 0.3338 0.2500  3 Ta 2.62-2.84
Na: 0.5000 0.0000 0.1564  1 Na 2.66
Na: 0.5000 0.0000 0.8436  1 Na 2.66
Ta: 0.0000 0.9162 0.0000  3 Ta 2.62-2.84
Ta: 0.7500 0.6662 0.7500  3 Ta 2.62-2.84
Ta: 0.5000 0.9162 0.5000  3 Ta 2.62-2.84
Ta: 0.0000 0.0838 0.0000  3 Ta 2.62-2.84
Na: 0.7500 0.2500 0.5936  1 Na 2.66
Na: 0.0000 0.5000 0.8436  1 Na 2.66
Na: 0.2500 0.2500 0.4064  1 Na 2.66
Na: 0.7500 0.7500 0.4064  1 Na 2.66
Na: 0.2500 0.2500 0.0936  1 Na 2.66
Ta: 0.5000 0.4162 0.0000  3 Ta 2.62-2.84
Ta: 0.5000 0.5838 0.0000  3 Ta 2.62-2.84
Ta: 0.0000 0.4162 0.5000  3 Ta 2.62-2.84
Ta: 0.7500 0.1662 0.2500  3 Ta 2.62-2.84

=====

6.
The following is a DFT calculation (PBE) of crystalline NaTa at its relaxed geometry.

## Properties
Energy above the lowest structure with this stoichiometry = 0.1348 eV/atom
M_tot = 0.0 μB per formula unit
Formation enthalpy at 0 K = 729 meV/atom

Cell: 10.0203 10.0203 2.9616 Å, 90.00 90.00 120.00°
Last column: nearest neighbours and their distance in Å.
Sites, in units of the cell vectors:
Na: 0.1464 0.8537 0.7500  6 Na 2.94-2.96, 4 Ta 3.18
Ta: 0.4294 0.5706 0.2500  6 Ta 2.86-2.96, 4 Na 3.18
Ta: 0.8589 0.4294 0.7500  6 Ta 2.86-2.96, 4 Na 3.18
Ta: 0.5706 0.1411 0.7500  6 Ta 2.86-2.96, 4 Na 3.18
Na: 0.8537 0.7073 0.2500  6 Na 2.94-2.96, 4 Ta 3.18
Na: 0.7073 0.8536 0.7500  6 Na 2.94-2.96, 4 Ta 3.18
Na: 0.8536 0.1463 0.2500  6 Na 2.94-2.96, 4 Ta 3.18
Ta: 0.1411 0.5706 0.2500  6 Ta 2.86-2.96, 4 Na 3.18
Na: 0.1463 0.2927 0.7500  6 Na 2.94-2.96, 4 Ta 3.18
Na: 0.2927 0.1464 0.2500  6 Na 2.94-2.96, 4 Ta 3.18
Ta: 0.5706 0.4294 0.7500  6 Ta 2.86-2.96, 4 Na 3.18
Ta: 0.4294 0.8589 0.2500  6 Ta 2.86-2.96, 4 Na 3.18

=====

7.
The following is a DFT calculation (PBE) of crystalline NaTa at its relaxed geometry.

## Properties
Energy above the lowest structure with this stoichiometry = 0.9972 eV/atom
M_tot = 0.2 μB per formula unit
Formation enthalpy at 0 K = 1592 meV/atom

Cell: 9.7362 9.7362 9.7362 Å, 90.00 90.00 90.00°
Last column: nearest neighbours and their distance in Å.
Sites, in units of the cell vectors:
Ta: 0.5929 0.5929 0.4071  3 Ta 2.56
Na: 0.7058 0.7058 0.7058  4 Ta 3.30-3.39
Ta: 0.0929 0.0929 0.9071  3 Ta 2.56
Na: 0.2058 0.2058 0.2058  4 Ta 3.30-3.39
Na: 0.2058 0.7942 0.7942  4 Ta 3.30-3.39
Na: 0.7942 0.7942 0.2058  4 Ta 3.30-3.39
Ta: 0.5929 0.4071 0.5929  3 Ta 2.56
Na: 0.7058 0.2942 0.2942  4 Ta 3.30-3.39
Ta: 0.0929 0.9071 0.0929  3 Ta 2.56
Na: 0.2942 0.7058 0.2942  4 Ta 3.30-3.39
Ta: 0.4071 0.5929 0.5929  3 Ta 2.56
Na: 0.2942 0.2942 0.7058  4 Ta 3.30-3.39
Na: 0.7942 0.2058 0.7942  4 Ta 3.30-3.39
Ta: 0.9071 0.9071 0.9071  3 Ta 2.56
Ta: 0.9071 0.0929 0.0929  3 Ta 2.56
Ta: 0.4071 0.4071 0.4071  3 Ta 2.56

=====

8.
The following is a DFT calculation (PBE) of crystalline NaTa at its relaxed geometry.

## Properties
Energy above the lowest structure with this stoichiometry = 1.2741 eV/atom
M_tot = 0.0 μB per formula unit
Formation enthalpy at 0 K = 1868 meV/atom

Cell: 5.6842 5.6842 6.0111 Å, 90.00 90.00 90.00°
Last column: nearest neighbours and their distance in Å.
Sites, in units of the cell vectors:
Na: 0.8416 0.8416 0.5000  1 Na 2.55
Ta: 0.6477 0.3523 0.5000  1 Ta 2.37
Ta: 0.8523 0.8523 0.0000  1 Ta 2.37
Ta: 0.1477 0.1477 0.0000  1 Ta 2.37
Na: 0.3416 0.6584 0.0000  1 Na 2.55
Na: 0.1584 0.1584 0.5000  1 Na 2.55
Na: 0.6584 0.3416 0.0000  1 Na 2.55
Ta: 0.3523 0.6477 0.5000  1 Ta 2.37

=====

9.
The following is a DFT calculation (PBE) of crystalline NaTaTc3 at its relaxed geometry.

## Properties
Energy above the lowest structure with this stoichiometry = 0.0000 eV/atom
M_tot = 3.0 μB per formula unit
Formation enthalpy at 0 K = 1616 meV/atom

Cell: 4.8248 4.8248 4.8248 Å, 90.00 90.00 90.00°
Last column: nearest neighbours and their distance in Å.
Sites, in units of the cell vectors:
Ta: 0.0000 0.0000 0.0000  6 Tc 2.41
Tc: 0.5000 0.0000 0.0000  2 Ta 2.41
Tc: 0.0000 0.5000 0.0000  2 Ta 2.41
Tc: 0.0000 0.0000 0.5000  2 Ta 2.41
Na: 0.5000 0.5000 0.5000  12 Tc 3.41

=====

10.
The following is a DFT calculation (PBE) of crystalline Na2TaTc at its relaxed geometry.

## Properties
M_tot = 0.0 μB per formula unit
Formation enthalpy at 0 K = 1431 meV/atom

Cell: 8.3758 8.3758 6.4062 Å, 49.18 49.18 90.00°
Last column: nearest neighbours and their distance in Å.
Sites, in units of the cell vectors:
Na: 0.6005 0.1250 0.2500  2 Na 2.48
Tc: 0.5000 0.5000 0.0000  2 Ta 2.44
Na: 0.8750 0.8505 0.7500  2 Na 2.48
Ta: 0.0000 0.0000 0.0000  2 Tc 2.44
Na: 0.1495 0.6250 0.2500  2 Na 2.48
Ta: 0.7500 0.2500 0.5000  2 Tc 2.44
Tc: 0.2500 0.7500 0.5000  2 Ta 2.44
Na: 0.3750 0.3995 0.7500  2 Na 2.48

=====

11.
The following is a DFT calculation (PBE) of crystalline Na2TaTlTc at its relaxed geometry.

## Properties
M_tot = 6.7 μB per formula unit
Formation enthalpy at 0 K = 2162 meV/atom

Cell: 5.6938 5.3981 5.6938 Å, 90.00 90.00 90.00°
Last column: nearest neighbours and their distance in Å.
Sites, in units of the cell vectors:
Na: 0.5000 0.0000 0.0000  2 Ta 2.85
Tc: 0.5000 0.5000 0.5000  8 Na 3.92, 4 Tl 4.03
Ta: 0.0000 0.0000 0.0000  2 Tl 2.70, 4 Na 2.85
Na: 0.0000 0.0000 0.5000  2 Ta 2.85
Tl: 0.0000 0.5000 0.0000  2 Ta 2.70